(1)
The following is a GGA-PBE calculation of crystalline Ac5U2Te12 at its relaxed geometry, from Alexandria.

Results
- raw formation energy (eV per atom) = -1.219

Cell: 8.5770 10.0990 10.5091 Å, 105.73 90.00 115.13°
Each line ends with the local moment (μB).
Atoms (fractional coordinates):
Te (0.0892, 0.6593, 0.9138)  -0.05
Te (0.1045, 0.7039, 0.4334)  -0.01
Te (0.4005, 0.2961, 0.5666)  -0.01
Te (0.4299, 0.3407, 0.0862)  -0.05
Te (0.0009, 0.0018, 0.8091)  -0.07
Te (0.5995, 0.7039, 0.4334)  -0.01
Te (0.9991, 0.9982, 0.1909)  -0.07
Te (0.8955, 0.2961, 0.5666)  -0.01
Te (0.5052, 0.0104, 0.2144)  -0.06
Te (0.5701, 0.6593, 0.9138)  -0.05
Te (0.9108, 0.3407, 0.0862)  -0.05
Te (0.4948, 0.9896, 0.7856)  -0.06
Ac (0.3146, 0.6291, 0.1719)  -0.01
Ac (0.0000, 0.0000, 0.5000)  -0.01
Ac (0.7041, 0.4082, 0.3596)  -0.01
Ac (0.6854, 0.3709, 0.8281)  -0.01
Ac (0.2959, 0.5918, 0.6404)  -0.01
U (0.2554, 0.0000, 0.0000)  1.85
U (0.7446, 0.0000, 0.0000)  1.85

(2)
The following is a GGA-PBE calculation of crystalline Tb4HgSb at its relaxed geometry, from Alexandria.

Results
- raw formation energy (eV per atom) = -0.531

Cell: 4.0681 8.4937 19.8801 Å, 90.00 90.00 90.00°
Atoms (fractional coordinates):
Tb (0.7500, 0.8735, 0.4340)
Tb (0.7500, 0.8456, 0.6595)
Tb (0.2500, 0.0177, 0.7825)
Tb (0.2500, 0.5177, 0.7175)
Tb (0.2500, 0.0272, 0.0730)
Tb (0.2500, 0.6265, 0.9340)
Tb (0.2500, 0.1544, 0.3405)
Tb (0.7500, 0.9823, 0.2175)
Tb (0.7500, 0.4728, 0.5730)
Tb (0.2500, 0.6544, 0.1595)
Tb (0.2500, 0.5272, 0.4270)
Tb (0.7500, 0.3735, 0.0660)
Tb (0.7500, 0.9728, 0.9270)
Tb (0.2500, 0.1265, 0.5660)
Tb (0.7500, 0.3456, 0.8405)
Tb (0.7500, 0.4823, 0.2825)
Hg (0.2500, 0.7553, 0.5490)
Hg (0.7500, 0.2447, 0.4510)
Hg (0.2500, 0.2553, 0.9510)
Hg (0.7500, 0.7447, 0.0490)
Sb (0.7500, 0.2192, 0.6886)
Sb (0.2500, 0.7808, 0.3114)
Sb (0.2500, 0.2808, 0.1886)
Sb (0.7500, 0.7192, 0.8114)

(3)
The following is a GGA-PBE calculation of crystalline CaMn2Be at its relaxed geometry, from Alexandria.

Results
- ΔE_f (eV/atom) = 0.6275

Cell: 4.0214 4.0148 3.9682 Å, 90.00 90.00 90.00°
Each line ends with the local moment (μB).
Atoms (fractional coordinates):
Mn (0.0000, 0.0000, 0.0000)  3.12
Mn (0.5000, 0.5000, 0.0000)  3.12
Be (0.5000, 0.0000, 0.5000)  -0.18
Ca (0.0000, 0.5000, 0.5000)  -0.07

(4)
The following is a GGA-PBE calculation of crystalline CrIr2 at its relaxed geometry, from Alexandria.

Results
- ΔE_f (eV/atom) = 0.0699

Cell: 4.8643 4.8643 4.8643 Å, 102.25 102.25 125.16°
Atoms (fractional coordinates):
Cr (0.2500, 0.2500, 0.0000)
Cr (0.7500, 0.7500, 0.0000)
Ir (0.8498, 0.3498, 0.1995)
Ir (0.6502, 0.8498, 0.5000)
Ir (0.1502, 0.6502, 0.8005)
Ir (0.3498, 0.1502, 0.5000)

(5)
The following is a GGA-PBE calculation of crystalline Re2BCl at its relaxed geometry, from Alexandria.

Results
- raw formation energy (eV per atom) = 1.111

Cell: 4.1009 4.1009 4.1009 Å, 60.00 60.00 60.00°
Atoms (fractional coordinates):
B (0.0000, 0.0000, 0.0000)
Cl (0.5000, 0.5000, 0.5000)
Re (0.2500, 0.2500, 0.2500)
Re (0.7500, 0.7500, 0.7500)

(6)
The following is a GGA-PBE calculation of crystalline TiZnBr2 at its relaxed geometry, from Alexandria.

Results
- raw formation energy (eV per atom) = -0.081

Cell: 11.0752 11.0752 11.0752 Å, 18.54 18.54 18.54°
Atoms (fractional coordinates):
Br (0.0719, 0.0719, 0.0719)
Br (0.9281, 0.9281, 0.9281)
Ti (0.0000, 0.0000, 0.0000)
Zn (0.5000, 0.5000, 0.5000)

(7)
The following is a GGA-PBE calculation of crystalline Rb2BaAgBr5 at its relaxed geometry, from Alexandria.

Results
- raw formation energy (eV per atom) = -1.580

Cell: 4.7553 10.3631 14.7266 Å, 90.00 90.00 103.26°
Atoms (fractional coordinates):
Rb (0.8804, 0.7608, 0.8416)
Rb (0.1062, 0.2124, 0.6819)
Rb (0.8938, 0.7876, 0.1819)
Rb (0.1196, 0.2392, 0.3416)
Br (0.2938, 0.5876, 0.6784)
Br (0.3135, 0.6270, 0.3777)
Br (0.4930, 0.9859, 0.7613)
Br (0.0328, 0.0655, 0.0151)
Br (0.7062, 0.4124, 0.1784)
Br (0.6865, 0.3730, 0.8777)
Br (0.9672, 0.9345, 0.5151)
Br (0.6484, 0.2968, 0.5132)
Br (0.5070, 0.0141, 0.2613)
Br (0.3516, 0.7032, 0.0132)
Ag (0.5475, 0.0950, 0.9251)
Ag (0.4525, 0.9050, 0.4251)
Ba (0.8056, 0.6112, 0.5298)
Ba (0.1944, 0.3888, 0.0298)

(8)
The following is a GGA-PBE calculation of crystalline Pm5Sm2Tm4 at its relaxed geometry, from Alexandria.

Results
- ΔE_f (eV/atom) = 0.1443

Cell: 3.5687 12.1103 9.1558 Å, 106.94 101.24 90.00°
Atoms (fractional coordinates):
Pm (0.8877, 0.4834, 0.7753)
Pm (0.1123, 0.5166, 0.2247)
Pm (0.5000, 0.0000, 0.0000)
Pm (0.8340, 0.9879, 0.6680)
Pm (0.1660, 0.0121, 0.3320)
Tm (0.3301, 0.2319, 0.6603)
Tm (0.6699, 0.7681, 0.3397)
Tm (0.9956, 0.2473, 0.9912)
Tm (0.0044, 0.7527, 0.0088)
Sm (0.6766, 0.2910, 0.3533)
Sm (0.3234, 0.7090, 0.6467)

(9)
The following is a GGA-PBE calculation of crystalline PaSiO2 at its relaxed geometry, from Alexandria.

Results
- raw formation energy (eV per atom) = -1.371

Cell: 2.9353 2.9353 7.3201 Å, 78.43 78.43 60.00°
Atoms (fractional coordinates):
O (0.1261, 0.1261, 0.6216)
O (0.8739, 0.8739, 0.3784)
Si (0.5000, 0.5000, 0.5000)
Pa (0.0000, 0.0000, 0.0000)

(10)
The following is a GGA-PBE calculation of crystalline TcSbTe2P at its relaxed geometry, from Alexandria.

Results
- raw formation energy (eV per atom) = 1.242

Cell: 5.0929 5.0929 4.9159 Å, 90.00 90.00 90.00°
Atoms (fractional coordinates):
Te (0.5000, 0.0000, 0.0000)
Te (0.0000, 0.5000, 0.0000)
P (0.0000, 0.0000, 0.0000)
Sb (0.0000, 0.0000, 0.5000)
Tc (0.5000, 0.5000, 0.5000)

(11)
The following is a GGA-PBE calculation of crystalline AlZnGa3 at its relaxed geometry, from Alexandria.

Results
- ΔE_f (eV/atom) = 0.4258

Cell: 4.9815 4.9815 4.9815 Å, 90.00 90.00 90.00°
Atoms (fractional coordinates):
Zn (0.5000, 0.5000, 0.5000)
Ga (0.5000, 0.0000, 0.0000)
Ga (0.0000, 0.5000, 0.0000)
Ga (0.0000, 0.0000, 0.5000)
Al (0.0000, 0.0000, 0.0000)

(12)
The following is a GGA-PBE calculation of crystalline RbSn3Br at its relaxed geometry, from Alexandria.

Results
- raw formation energy (eV per atom) = 0.312

Cell: 5.8043 5.8043 5.8043 Å, 90.00 90.00 90.00°
Atoms (fractional coordinates):
Sn (0.5000, 0.0000, 0.0000)
Sn (0.0000, 0.5000, 0.0000)
Sn (0.0000, 0.0000, 0.5000)
Rb (0.5000, 0.5000, 0.5000)
Br (0.0000, 0.0000, 0.0000)

(13)
The following is a GGA-PBE calculation of crystalline La2HfAg at its relaxed geometry, from Alexandria.

Results
- ΔE_f (eV/atom) = 0.0209

Cell: 3.5377 3.5377 9.0640 Å, 90.00 90.00 90.00°
Atoms (fractional coordinates):
La (0.0000, 0.0000, 0.7585)
La (0.0000, 0.0000, 0.2415)
Ag (0.5000, 0.5000, 0.0000)
Hf (0.5000, 0.5000, 0.5000)

(14)
The following is a GGA-PBE calculation of crystalline PtICl2 at its relaxed geometry, from Alexandria.

Results
- raw formation energy (eV per atom) = 0.308

Cell: 7.3326 7.3326 7.3527 Å, 60.09 60.09 90.00°
Atoms (fractional coordinates):
I (0.5000, 0.5000, 0.0000)
I (0.2500, 0.7500, 0.5000)
Pt (0.0000, 0.0000, 0.0000)
Pt (0.7500, 0.2500, 0.5000)
Cl (0.8750, 0.0432, 0.7500)
Cl (0.3750, 0.2068, 0.7500)
Cl (0.9568, 0.6250, 0.2500)
Cl (0.7932, 0.1250, 0.2500)

(15)
The following is a GGA-PBE calculation of crystalline La2In3Sn3 at its relaxed geometry, from Alexandria.

Results
- ΔE_f (eV/atom) = -0.5446

Cell: 4.8979 4.7503 9.4643 Å, 90.00 90.00 90.00°
Atoms (fractional coordinates):
Sn (0.5000, 0.0000, 0.5000)
Sn (0.0000, 0.5000, 0.0000)
Sn (0.0000, 0.5000, 0.5000)
La (0.0000, 0.0000, 0.2524)
La (0.0000, 0.0000, 0.7476)
In (0.5000, 0.0000, 0.0000)
In (0.5000, 0.5000, 0.7539)
In (0.5000, 0.5000, 0.2461)

(16)
The following is a GGA-PBE calculation of crystalline Y2CrCl at its relaxed geometry, from Alexandria.

Results
- raw formation energy (eV per atom) = -0.131

Cell: 3.4499 3.4499 9.7210 Å, 90.00 90.00 113.38°
Each line ends with the local moment (μB).
Atoms (fractional coordinates):
Y (0.5000, 0.5000, 0.2791)  0.12
Y (0.0000, 0.0000, 0.9882)  -0.04
Cr (0.5000, 0.5000, 0.7445)  3.93
Cl (0.0000, 0.0000, 0.4881)  0.01

(17)
The following is a GGA-PBE calculation of crystalline Na2LiHoF6 at its relaxed geometry, from Alexandria.

Results
- raw formation energy (eV per atom) = -3.315

Cell: 5.5576 5.7165 8.4598 Å, 90.00 86.46 90.00°
Atoms (fractional coordinates):
Na (0.5371, 0.5565, 0.7595)
Na (0.9629, 0.0565, 0.7405)
Na (0.0371, 0.9435, 0.2595)
Na (0.4629, 0.4435, 0.2405)
Li (0.0000, 0.5000, 0.5000)
Li (0.5000, 0.0000, 0.0000)
F (0.8594, 0.5633, 0.2422)
F (0.1954, 0.2129, 0.4382)
F (0.2899, 0.7046, 0.4225)
F (0.1406, 0.4367, 0.7578)
F (0.8046, 0.7871, 0.5618)
F (0.7101, 0.2954, 0.5775)
F (0.2101, 0.2046, 0.0775)
F (0.7899, 0.7954, 0.9225)
F (0.3594, 0.9367, 0.7422)
F (0.6406, 0.0633, 0.2578)
F (0.3046, 0.7129, 0.0618)
F (0.6954, 0.2871, 0.9382)
Ho (0.5000, 0.0000, 0.5000)
Ho (0.0000, 0.5000, 0.0000)

(18)
The following is a GGA-PBE calculation of crystalline CsTl2O at its relaxed geometry, from Alexandria.

Results
- raw formation energy (eV per atom) = -0.344

Cell: 8.6141 8.6141 6.9238 Å, 51.53 51.53 90.00°
Atoms (fractional coordinates):
Cs (0.0000, 0.0000, 0.0000)
Cs (0.7500, 0.2500, 0.5000)
O (0.5000, 0.5000, 0.0000)
O (0.2500, 0.7500, 0.5000)
Tl (0.8750, 0.7745, 0.7500)
Tl (0.5245, 0.1250, 0.2500)
Tl (0.2255, 0.6250, 0.2500)
Tl (0.3750, 0.4755, 0.7500)

(19)
The following is a GGA-PBE calculation of crystalline AlCr2Cl at its relaxed geometry, from Alexandria.

Results
- raw formation energy (eV per atom) = 0.509

Cell: 3.0108 5.3679 4.2438 Å, 90.00 90.00 90.00°
Each line ends with the local moment (μB).
Atoms (fractional coordinates):
Cr (0.5000, 0.5000, 0.0000)  3.49
Cr (0.0000, 0.0000, 0.0000)  2.83
Al (0.5000, 0.0000, 0.5000)  -0.06
Cl (0.0000, 0.5000, 0.5000)  0.04

(20)
The following is a GGA-PBE calculation of crystalline NdSm2I at its relaxed geometry, from Alexandria.

Results
- raw formation energy (eV per atom) = -0.321

Cell: 3.7074 3.7074 9.7621 Å, 90.00 90.00 90.00°
Atoms (fractional coordinates):
Sm (0.0000, 0.0000, 0.7595)
Sm (0.0000, 0.0000, 0.2405)
Nd (0.5000, 0.5000, 0.5000)
I (0.5000, 0.5000, 0.0000)

(21)
The following is a GGA-PBE calculation of crystalline BaAcPdPt at its relaxed geometry, from Alexandria.

Results
- ΔE_f (eV/atom) = -0.7665

Cell: 4.9101 4.9101 5.8608 Å, 90.00 90.00 120.00°
Atoms (fractional coordinates):
Ba (0.6667, 0.3333, 0.2685)
Ac (0.3333, 0.6667, 0.7592)
Pt (0.0000, 0.0000, 0.5296)
Pd (0.0000, 0.0000, 0.0140)

(22)
The following is a GGA-PBE calculation of crystalline Pm4GaBiTe2 at its relaxed geometry, from Alexandria.

Results
- raw formation energy (eV per atom) = -1.095

Cell: 4.3885 7.7898 7.7764 Å, 108.69 90.00 90.00°
Atoms (fractional coordinates):
Bi (0.0000, 0.0000, 0.0000)
Te (0.5000, 0.0000, 0.5000)
Te (0.0000, 0.5000, 0.5000)
Pm (0.5000, 0.2592, 0.2387)
Pm (0.5000, 0.7408, 0.7613)
Pm (0.0000, 0.7367, 0.2366)
Pm (0.0000, 0.2633, 0.7634)
Ga (0.5000, 0.5000, 0.0000)

(23)
The following is a GGA-PBE calculation of crystalline LiMgGe4 at its relaxed geometry, from Alexandria.

Results
- ΔE_f (eV/atom) = 0.0634

Cell: 5.5556 5.5556 5.5556 Å, 60.00 60.00 60.00°
Atoms (fractional coordinates):
Li (0.0000, 0.0000, 0.0000)
Ge (0.1249, 0.6250, 0.6250)
Ge (0.6250, 0.6250, 0.6250)
Ge (0.6250, 0.1249, 0.6250)
Ge (0.6250, 0.6250, 0.1249)
Mg (0.2500, 0.2500, 0.2500)

(24)
The following is a GGA-PBE calculation of crystalline LaNbN2 at its relaxed geometry, from Alexandria.

Results
- raw formation energy (eV per atom) = -0.929

Cell: 5.2894 5.2894 6.2361 Å, 64.91 64.91 90.00°
Atoms (fractional coordinates):
Nb (0.5000, 0.5000, 0.0000)
Nb (0.2500, 0.7500, 0.5000)
N (0.5569, 0.1250, 0.2500)
N (0.1931, 0.6250, 0.2500)
N (0.3750, 0.4431, 0.7500)
N (0.8750, 0.8069, 0.7500)
La (0.7500, 0.2500, 0.5000)
La (0.0000, 0.0000, 0.0000)

(25)
The following is a GGA-PBE calculation of crystalline InSiOs2 at its relaxed geometry, from Alexandria.

Results
- raw formation energy (eV per atom) = 0.314

Cell: 4.3951 4.3951 4.3951 Å, 60.00 60.00 60.00°
Atoms (fractional coordinates):
Os (0.2500, 0.2500, 0.2500)
Os (0.7500, 0.7500, 0.7500)
Si (0.0000, 0.0000, 0.0000)
In (0.5000, 0.5000, 0.5000)

In eV per formula unit, the total DFT energy (no corrections) values for the records above are, in order, -103.99, -26.13, -21.56, -27.14, -28.98, -12.84, -29.29, -49.49, -30.32, -19.97, -11.97, -13.09, -22.58, -10.05, -34.44, -24.92, -53.51, -11.92, -22.80, -17.04, -20.33, -40.95, -21.60, -35.36, -29.36.
In μB per formula unit, the size of the total moment values for the records above are, in order, 3.0, 0.0, 5.9, 0.0, 0.0, 0.0, 0.0, 0.0, 0.0, 0.0, 0.0, 0.0, 0.0, 0.0, 0.0, 4.6, 0.2, 0.0, 6.9, 0.0, 0.0, 0.0, 0.0, 0.0, 0.0.
In states/eV/f.u., the density of states at the Fermi level values for the records above are, in order, 5.2, 8.0, 3.2, 3.9, 3.1, 2.1, 0.0, 16.5, 3.8, 7.5, 1.4, 2.8, 4.4, 10.3, 4.4, 2.9, 0.0, 3.0, 3.8, 4.5, 3.0, 2.3, 4.4, 2.7, 2.7.